! PBE RbBOs, relaxed; values from VASP
&SYSTEM
  ibrav = 0, nat = 3, ntyp = 3
/
ATOMIC_SPECIES
B 10.81 B.upf
Os 190.23 Os.upf
Rb 85.47 Rb.upf
ATOMIC_POSITIONS crystal
B 0.000 0.000 0.000
Os 0.250 0.250 0.250
Rb 0.750 0.750 0.750
CELL_PARAMETERS angstrom
0.000 3.057 3.057
3.057 0.000 3.057
3.057 3.057 0.000
! Size of the total moment in Bohr magnetons per cell: 0.0
! Space-group type: F-43m (216)
! Distance to the lowest polymorph of the same formula in meV per atom: 45